# PaV2CuO8

A relaxed structure of PaV2CuO8 (PBE+U, Alexandria).

The calculation puts the magnetic moment at 0.12 μB per cell. The volume comes out at 14.96 Å³ per atom. Its total energy is -7.76 eV/atom.

It has space group P-3m1 (No. 164), with a = 5.9132 Å, b = 5.9132 Å, c = 5.9284 Å, α = 90.00°, β = 90.00° and γ = 120.00°. The distinct sites, in fractional coordinates, are Pa at (0.0000, 0.0000, 0.0000), V at (0.3333, 0.6667, 0.6766), Cu at (0.0000, 0.0000, 0.5000), O at (0.1655, 0.3310, 0.7681) and O at (0.3333, 0.6667, 0.4021).